Entry 1:
# Fe3C5

Fe3C5 after structural relaxation (PBE, the Alexandria database).

Values from the calculation:
ρ (g/cm3): 5.74
Size of the total moment (μB per formula unit): 0.0
Relative energy among the computed polymorphs (eV per atom): 0.009
ΔH_f (0 K) (eV per atom): 0.87
Energy (eV for the cell shown): -129.16

Unit cell a=5.2966 b=5.3289 c=5.3812 alpha=90.00 beta=90.00 gamma=119.81
Closest atoms and distances in Å follow each position.
Sites, in units of the cell vectors:
C  0.3331  0.6663  0.0000  6 Fe 2.03-2.05
C  0.6669  0.3337  0.5000  6 Fe 2.03-2.05
C  0.6669  0.3337  0.0000  6 Fe 2.03-2.05
C  0.3331  0.6663  0.5000  6 Fe 2.03-2.05
C  0.1531  0.0001  0.2500  2 C 1.40
C  0.8469  0.9999  0.7500  2 C 1.40
C  0.9998  0.1522  0.2500  2 C 1.40-1.41
C  0.8477  0.8479  0.2500  2 C 1.40-1.41
C  0.1523  0.1521  0.7500  2 C 1.40-1.41
C  0.0002  0.8478  0.7500  2 C 1.40-1.41
Fe  0.4955  0.0001  0.2500  1 C 1.81
Fe  0.5045  0.9999  0.7500  1 C 1.81
Fe  0.9987  0.4919  0.2500  1 C 1.81
Fe  0.5068  0.5081  0.2500  1 C 1.81
Fe  0.4932  0.4919  0.7500  1 C 1.81
Fe  0.0013  0.5081  0.7500  1 C 1.81

***

Entry 2:
# Rb7Na3

Rb7Na3 after structural relaxation (PBE, the Alexandria database).

Values from the calculation:
ρ (g/cm3): 1.53
Size of the total moment (μB per formula unit): 0.0
Relative energy among the computed polymorphs (eV per atom): 0.000
ΔH_f (0 K) (eV per atom): 0.03
Energy (eV for the cell shown): -10.43

Unit cell a=7.1430 b=9.2728 c=13.0569 alpha=117.97 beta=105.87 gamma=90.00
Closest atoms and distances in Å follow each position.
Sites, in units of the cell vectors:
Rb  0.0000  0.5000  0.0000  4 Na 4.27-4.64
Rb  0.2012  0.2430  0.4024  4 Na 4.33-4.42, 4 Rb 4.72-4.78
Rb  0.7988  0.7570  0.5976  4 Na 4.33-4.42, 4 Rb 4.72-4.78
Rb  0.3723  0.1370  0.7447  3 Na 4.33-4.49, 5 Rb 4.70-4.85
Rb  0.6277  0.8630  0.2553  3 Na 4.33-4.49, 5 Rb 4.70-4.85
Rb  0.4109  0.6871  0.8219  4 Na 4.46-4.84, 8 Rb 4.70-4.96
Rb  0.5891  0.3129  0.1781  4 Na 4.46-4.84, 8 Rb 4.70-4.96
Na  0.0000  0.0000  0.0000  8 Rb 4.42-4.64
Na  0.1934  0.7020  0.3868  7 Rb 4.27-4.49
Na  0.8066  0.2980  0.6132  7 Rb 4.27-4.49

***

Entry 3:
# ZnRhC3

ZnRhC3 after structural relaxation (PBE, the Alexandria database).

Values from the calculation:
ρ (g/cm3): 5.86
Size of the total moment (μB per formula unit): 0.0
Relative energy among the computed polymorphs (eV per atom): 0.565
ΔH_f (0 K) (eV per atom): 2.88
Energy (eV for the cell shown): -21.91

Unit cell a=3.8677 b=3.8677 c=3.8677 alpha=90.00 beta=90.00 gamma=90.00
Closest atoms and distances in Å follow each position.
Sites, in units of the cell vectors:
Zn  0.0000  0.0000  0.0000  6 C 1.93
Rh  0.5000  0.5000  0.5000  12 C 2.73
C  0.0000  0.5000  0.0000  2 Zn 1.93
C  0.0000  0.0000  0.5000  2 Zn 1.93
C  0.5000  0.0000  0.0000  2 Zn 1.93

***

Entry 4:
# BaMgH8Pd2

BaMgH8Pd2 after structural relaxation (PBE, the Alexandria database).

Values from the calculation:
ρ (g/cm3): 4.68
Size of the total moment (μB per formula unit): 0.0
Energy (eV for the cell shown): -41.31

Unit cell a=4.8138 b=4.8138 c=6.7657 alpha=90.00 beta=90.00 gamma=120.00
Closest atoms and distances in Å follow each position.
Sites, in units of the cell vectors:
Ba  0.0000  0.0000  0.0000  12 H 2.80-2.90
Mg  0.0000  0.0000  0.5000  6 H 2.00
H  0.3333  0.6667  0.8772  1 Pd 1.63
H  0.3246  0.3598  0.3346  1 Pd 1.73
H  0.6402  0.9648  0.3346  1 Pd 1.73
H  0.6667  0.3333  0.1228  1 Pd 1.63
H  0.3598  0.0352  0.6654  1 Pd 1.73
H  0.6754  0.6402  0.6654  1 Pd 1.73
H  0.9648  0.3246  0.6654  1 Pd 1.73
H  0.0352  0.6754  0.3346  1 Pd 1.73
Pd  0.6667  0.3333  0.3644  4 H 1.63-1.73
Pd  0.3333  0.6667  0.6356  4 H 1.63-1.73

***

Entry 5:
# TaCoPd

TaCoPd after structural relaxation (PBE, the Alexandria database).

Values from the calculation:
ρ (g/cm3): 13.03
Size of the total moment (μB per formula unit): 0.1
Relative energy among the computed polymorphs (eV per atom): 0.087
ΔH_f (0 K) (eV per atom): -0.25
Energy (eV for the cell shown): -24.89

Unit cell a=3.1810 b=3.1810 c=4.9085 alpha=108.91 beta=108.91 gamma=90.00
Closest atoms and distances in Å follow each position.
Sites, in units of the cell vectors:
Co  0.3167  0.3167  0.6334  4 Ta 2.53, 5 Pd 2.76
Pd  0.0000  0.0000  0.0000  5 Co 2.76, 5 Ta 2.76
Ta  0.6833  0.6833  0.3667  4 Co 2.53, 5 Pd 2.76

***

Entry 6:
# Zn2RePb

Zn2RePb after structural relaxation (PBE, the Alexandria database).

Values from the calculation:
ρ (g/cm3): 11.40
Size of the total moment (μB per formula unit): 0.6
ΔH_f (0 K) (eV per atom): 0.50
Energy (eV for the cell shown): -16.70

Unit cell a=2.9387 b=2.9387 c=8.8422 alpha=90.00 beta=90.00 gamma=90.07
Closest atoms and distances in Å follow each position.
Sites, in units of the cell vectors:
Pb  0.5000  0.5000  0.2500  4 Pb 2.94
Re  0.5000  0.5000  0.7500  8 Zn 2.70-2.71, 4 Re 2.94
Zn  0.0000  0.0000  0.9459  4 Re 2.70-2.71, 4 Zn 2.94
Zn  0.0000  0.0000  0.5541  4 Re 2.70-2.71, 4 Zn 2.94

***

Entry 7:
# TlSb2Br

TlSb2Br after structural relaxation (PBE, the Alexandria database).

Values from the calculation:
ρ (g/cm3): 6.58
Energy relative to the elements, uncorrected (eV per atom): -0.2373
Size of the total moment (μB per formula unit): 0.0
Relative energy among the computed polymorphs (eV per atom): 0.083
Energy (eV for the cell shown): -13.23

Unit cell a=4.1818 b=3.4393 c=9.3995 alpha=80.08 beta=90.00 gamma=90.00
Closest atoms and distances in Å follow each position.
Sites, in units of the cell vectors:
Sb  0.0000  0.1737  0.0178  2 Sb 2.88
Sb  0.5000  0.0697  0.2316  2 Sb 2.88
Tl  0.0000  0.4203  0.5351  4 Br 3.18, 2 Tl 3.44
Br  0.5000  0.8363  0.7155  4 Tl 3.18, 2 Br 3.44

***

Entry 8:
# LaMn2V

LaMn2V after structural relaxation (PBE, the Alexandria database).

Values from the calculation:
ρ (g/cm3): 6.90
Size of the total moment (μB per formula unit): 2.6
Relative energy among the computed polymorphs (eV per atom): 0.000
ΔH_f (0 K) (eV per atom): 0.41
Energy (eV for the cell shown): -30.73

Unit cell a=4.6718 b=4.6718 c=4.6718 alpha=60.00 beta=60.00 gamma=60.00
Closest atoms and distances in Å follow each position.
Sites, in units of the cell vectors:
Mn  0.2500  0.2500  0.2500  4 La 2.86, 4 V 2.86
Mn  0.7500  0.7500  0.7500  4 La 2.86, 4 V 2.86
La  0.5000  0.5000  0.5000  8 Mn 2.86
V  0.0000  0.0000  0.0000  8 Mn 2.86

***

Question: Look up the size of the total moment of the fifth one.
Answer: 0.1 μB per formula unit

***

Question: Number 8 is which compound?
Answer: LaMn2V